Entry 1:
# LaAlPd2 | Alexandria | PBE | optimized geometry
data_LaAlPd2
_cell_length_a 3.1753
_cell_length_b 3.1753
_cell_length_c 7.5006
_cell_angle_alpha 90.00
_cell_angle_beta 90.00
_cell_angle_gamma 90.00
_space_group_name_H-M_alt 'P 1'
_space_group_IT_number 1
loop_
_space_group_symop_operation_xyz
'x,y,z'
loop_
_atom_site_label
_atom_site_type_symbol
_atom_site_fract_x
_atom_site_fract_y
_atom_site_fract_z
Pd1 Pd 0.0000 0.0000 0.8086
Pd2 Pd 0.0000 0.0000 0.1914
La1 La 0.5000 0.5000 0.5000
Al1 Al 0.5000 0.5000 0.0000
# symmetry: P4/mmm



Entry 2:
# La2AlPd2 | Alexandria | PBE | optimized geometry
data_La2AlPd2
_cell_length_a 5.7566
_cell_length_b 5.7566
_cell_length_c 5.6441
_cell_angle_alpha 59.34
_cell_angle_beta 59.34
_cell_angle_gamma 90.00
_space_group_name_H-M_alt 'P 1'
_space_group_IT_number 1
loop_
_space_group_symop_operation_xyz
'x,y,z'
loop_
_atom_site_label
_atom_site_type_symbol
_atom_site_fract_x
_atom_site_fract_y
_atom_site_fract_z
Pd1 Pd 0.6682 0.6682 0.6637
Pd2 Pd 0.3318 0.3318 0.3363
La1 La 0.2500 0.7500 0.5000
La2 La 0.7500 0.2500 0.5000
Al1 Al 0.0000 0.0000 0.0000
# symmetry: I4/mmm



Entry 3:
# LaAl3Pd3 | Alexandria | PBE | optimized geometry
data_LaAl3Pd3
_cell_length_a 6.7852
_cell_length_b 6.7852
_cell_length_c 6.7852
_cell_angle_alpha 90.00
_cell_angle_beta 90.00
_cell_angle_gamma 90.00
_space_group_name_H-M_alt 'P 1'
_space_group_IT_number 1
loop_
_space_group_symop_operation_xyz
'x,y,z'
loop_
_atom_site_label
_atom_site_type_symbol
_atom_site_fract_x
_atom_site_fract_y
_atom_site_fract_z
Al1 Al 0.0000 0.2500 0.5000
Al2 Al 0.7500 0.5000 0.0000
Al3 Al 0.5000 0.0000 0.7500
Al4 Al 0.0000 0.7500 0.5000
Al5 Al 0.2500 0.5000 0.0000
Al6 Al 0.5000 0.0000 0.2500
Pd1 Pd 0.0000 0.5000 0.2500
Pd2 Pd 0.0000 0.5000 0.7500
Pd3 Pd 0.7500 0.0000 0.5000
Pd4 Pd 0.5000 0.7500 0.0000
Pd5 Pd 0.5000 0.2500 0.0000
Pd6 Pd 0.2500 0.0000 0.5000
La1 La 0.5000 0.5000 0.5000
La2 La 0.0000 0.0000 0.0000
# energy above the most stable polymorph in this dataset: 189 meV/atom
# symmetry: Pm-3n



Entry 4:
# LaAlPd2 | Alexandria | PBE | optimized geometry
data_LaAlPd2
_cell_length_a 6.0183
_cell_length_b 7.0751
_cell_length_c 7.6064
_cell_angle_alpha 90.00
_cell_angle_beta 90.00
_cell_angle_gamma 90.00
_space_group_name_H-M_alt 'P 1'
_space_group_IT_number 1
loop_
_space_group_symop_operation_xyz
'x,y,z'
loop_
_atom_site_label
_atom_site_type_symbol
_atom_site_fract_x
_atom_site_fract_y
_atom_site_fract_z
Pd1 Pd 0.5873 0.0526 0.6758
Pd2 Pd 0.4127 0.5526 0.3242
Pd3 Pd 0.9127 0.4474 0.1758
Pd4 Pd 0.0873 0.5526 0.8242
Pd5 Pd 0.0873 0.9474 0.8242
Pd6 Pd 0.5873 0.4474 0.6758
Pd7 Pd 0.4127 0.9474 0.3242
Pd8 Pd 0.9127 0.0526 0.1758
Al1 Al 0.3446 0.7500 0.6202
Al2 Al 0.1554 0.7500 0.1202
Al3 Al 0.8446 0.2500 0.8798
Al4 Al 0.6554 0.2500 0.3798
La1 La 0.1556 0.2500 0.5318
La2 La 0.6556 0.7500 0.9682
La3 La 0.3444 0.2500 0.0318
La4 La 0.8444 0.7500 0.4682
# symmetry: Pnma



Q: Which VASP energy values were calculated for the entries above? A: -21.90; -27.02; -70.31; -90.45, in eV/cell.
Q: Which calculated formation energy values were calculated for the entries above? A: -0.712; -0.607; -0.489; -0.889, in eV/atom.
Q: Which spin magnetization values were calculated for the entries above? A: 0.00; 0.00; 0.00; 0.00, in μB per formula unit.